The following is a DFT calculation (PBE) of crystalline RuSCl2O at its relaxed geometry.

Cell: 4.5678 4.5678 4.1037 Å, 90.00 90.00 90.00°
Last column: nearest neighbours and their distance in Å.
Sites, in units of the cell vectors:
Ru 0.5000 0.5000 0.5000  8 Cl 3.07, 4 S 3.23
S 0.0000 0.0000 0.5000  2 O 2.05
O 0.0000 0.0000 0.0000  2 S 2.05, 4 Cl 2.28
Cl 0.0000 0.5000 0.0000  2 O 2.28
Cl 0.5000 0.0000 0.0000  2 O 2.28

Energy relative to the lowest polymorph listed for this composition ... 37.7 kJ per mole of atoms
E ... -3.30 eV per atom
Symmetry ... P4/mmm, No. 123
Formation energy without anion corrections ... 1.111 eV/atom